Entry 1:
{"formula": "Ti2AsPd", "functional": "PBE", "state": "optimized geometry", "cell": [[4.067, 0.000, 0.000], [0.000, 4.067, 0.000], [0.000, 0.000, 3.800]], "species": ["Ti", "Ti", "As", "Pd"], "frac_coords": [[0.000, 0.500, 0.000], [0.500, 0.000, 0.000], [0.000, 0.000, 0.500], [0.500, 0.500, 0.500]], "dos_at_fermi_per_ev_fu": 4.8, "vol_a3_per_cell": 62.8, "formation_energy_mev_per_atom": -589, "total_energy_ev_per_fu": -27.987}



Entry 2:
{"formula": "PrSm2Si", "functional": "PBE", "state": "optimized geometry", "cell": [[1.954, 1.128, 9.722], [-1.954, 1.128, 9.722], [0.000, -2.257, 9.722]], "species": ["Pr", "Sm", "Sm", "Si"], "frac_coords": [[0.000, 0.000, 0.000], [0.560, 0.560, 0.560], [0.770, 0.770, 0.770], [0.165, 0.165, 0.165]], "dos_at_fermi_per_ev_fu": 5.6, "vol_a3_per_cell": 128.6, "relative_energy_mev_per_atom": 79, "total_energy_ev_per_fu": -20.314, "formation_energy_uncorrected_ev_per_atom": -0.17}



Entry 3:
{"formula": "Cs2Rb2Hg", "functional": "PBE", "state": "optimized geometry", "cell": [[-3.233, 3.233, 12.259], [3.233, -3.233, 12.259], [3.233, 3.233, -12.259]], "species": ["Cs", "Cs", "Rb", "Rb", "Hg"], "frac_coords": [[0.250, 0.750, 0.500], [0.750, 0.250, 0.500], [0.087, 0.087, 0.000], [0.913, 0.913, 0.000], [0.500, 0.500, 0.000]], "dos_at_fermi_per_ev_fu": 3.6, "vol_a3_per_cell": 512.5, "formation_energy_mev_per_atom": 121, "relative_energy_mev_per_atom": 220, "total_energy_ev_per_fu": -3.339}



Entry 4:
{"formula": "RbScZnBr6", "functional": "PBE", "state": "optimized geometry", "cell": [[6.926, 0.000, 0.000], [-3.463, 5.998, 0.000], [0.000, 0.000, 7.740]], "species": ["Rb", "Sc", "Zn", "Br", "Br", "Br", "Br", "Br", "Br"], "frac_coords": [[0.000, 0.000, 0.000], [0.333, 0.667, 0.500], [0.667, 0.333, 0.500], [0.376, 0.002, 0.698], [0.376, 0.374, 0.302], [0.626, 0.002, 0.302], [0.626, 0.624, 0.698], [0.998, 0.374, 0.698], [0.998, 0.624, 0.302]], "dos_at_fermi_per_ev_fu": 0.0, "vol_a3_per_cell": 321.5, "total_energy_ev_per_fu": -31.402, "formation_energy_uncorrected_ev_per_atom": -1.42}



Entry 5:
{"formula": "MgCd6In4", "functional": "PBE", "state": "optimized geometry", "cell": [[2.504, -4.300, 0.000], [2.504, 4.300, 0.000], [0.000, 0.000, 25.840]], "species": ["Mg", "Mg", "Cd", "Cd", "Cd", "Cd", "Cd", "Cd", "Cd", "Cd", "Cd", "Cd", "Cd", "Cd", "In", "In", "In", "In", "In", "In", "In", "In"], "frac_coords": [[0.180, 0.820, 0.750], [0.820, 0.180, 0.250], [0.155, 0.845, 0.189], [0.155, 0.845, 0.311], [0.172, 0.828, 0.598], [0.172, 0.828, 0.902], [0.485, 0.515, 0.250], [0.500, 0.500, 0.000], [0.500, 0.500, 0.500], [0.515, 0.485, 0.750], [0.828, 0.172, 0.098], [0.828, 0.172, 0.402], [0.845, 0.155, 0.689], [0.845, 0.155, 0.811], [0.164, 0.836, 0.048], [0.164, 0.836, 0.452], [0.493, 0.507, 0.134], [0.493, 0.507, 0.366], [0.507, 0.493, 0.634], [0.507, 0.493, 0.866], [0.836, 0.164, 0.548], [0.836, 0.164, 0.952]], "dos_at_fermi_per_ev_fu": 3.7, "vol_a3_per_cell": 556.4, "formation_energy_mev_per_atom": 55, "total_energy_ev_per_fu": -17.433}



Entry 6:
{"formula": "InPdPt2Pb", "functional": "PBE", "state": "optimized geometry", "cell": [[5.051, 0.000, 0.000], [0.000, 5.051, 0.000], [0.000, 0.000, 4.854]], "species": ["In", "Pd", "Pt", "Pt", "Pb"], "frac_coords": [[0.000, 0.000, 0.000], [0.000, 0.000, 0.500], [0.000, 0.500, 0.500], [0.500, 0.000, 0.500], [0.500, 0.500, 0.000]], "dos_at_fermi_per_ev_fu": 2.9, "vol_a3_per_cell": 123.9, "formation_energy_mev_per_atom": 515, "total_energy_ev_per_fu": -21.148}



Entry 7:
{"formula": "NbCrPd3", "functional": "PBE", "state": "optimized geometry", "cell": [[4.777, 0.000, 0.000], [0.000, 4.777, 0.000], [0.000, 0.000, 4.777]], "species": ["Nb", "Cr", "Pd", "Pd", "Pd"], "frac_coords": [[0.000, 0.000, 0.000], [0.500, 0.500, 0.500], [0.000, 0.000, 0.500], [0.000, 0.500, 0.000], [0.500, 0.000, 0.000]], "dos_at_fermi_per_ev_fu": 8.7, "vol_a3_per_cell": 109.0, "formation_energy_mev_per_atom": 1478, "relative_energy_mev_per_atom": 503, "total_energy_ev_per_fu": -27.883}



Entry 8:
{"formula": "TaWSe2Br", "functional": "PBE", "state": "optimized geometry", "cell": [[5.065, 0.000, 0.000], [0.000, 5.065, 0.000], [0.000, 0.000, 5.035]], "species": ["Ta", "W", "Se", "Se", "Br"], "frac_coords": [[0.000, 0.000, 0.000], [0.500, 0.500, 0.500], [0.000, 0.500, 0.000], [0.500, 0.000, 0.000], [0.000, 0.000, 0.500]], "dos_at_fermi_per_ev_fu": 3.6, "vol_a3_per_cell": 129.2, "relative_energy_mev_per_atom": 0, "total_energy_ev_per_fu": -28.375, "formation_energy_uncorrected_ev_per_atom": 1.01}



Copy entry 6 word for word.
{"formula": "InPdPt2Pb", "functional": "PBE", "state": "optimized geometry", "cell": [[5.051, 0.000, 0.000], [0.000, 5.051, 0.000], [0.000, 0.000, 4.854]], "species": ["In", "Pd", "Pt", "Pt", "Pb"], "frac_coords": [[0.000, 0.000, 0.000], [0.000, 0.000, 0.500], [0.000, 0.500, 0.500], [0.500, 0.000, 0.500], [0.500, 0.500, 0.000]], "dos_at_fermi_per_ev_fu": 2.9, "vol_a3_per_cell": 123.9, "formation_energy_mev_per_atom": 515, "total_energy_ev_per_fu": -21.148}